A plane-wave DFT calculation with PBE was carried out for an optimized crystal structure of Ba2AcSn3Pt4.

Summary:
Formation energy in eV per atom: -0.8160
Mass density in g/cm³: 10.122
D(E_F) in states/eV per atom: 0.40
Crystal system: tetragonal

Unit cell a=4.8930 b=4.8930 c=11.2246 alpha=90.00 beta=90.00 gamma=90.00
With the nearest neighbours (Å) after each atom.
Element x y z (fractional)
Ba 0.5000 0.0000 0.2245  8 Pt 3.51-3.74, 5 Sn 3.68-3.77
Ba 0.0000 0.5000 0.7755  8 Pt 3.51-3.74, 5 Sn 3.68-3.77
Ac 0.5000 0.5000 0.5000  4 Pt 2.96
Sn 0.0000 0.0000 0.5000  4 Pt 2.96
Sn 0.5000 0.0000 0.8883  5 Pt 2.70-2.75
Sn 0.0000 0.5000 0.1117  5 Pt 2.70-2.75
Pt 0.5000 0.5000 0.0000  4 Sn 2.75
Pt 0.0000 0.0000 0.0000  4 Sn 2.75
Pt 0.5000 0.0000 0.6479  3 Sn 2.70-2.96, 2 Ac 2.96
Pt 0.0000 0.5000 0.3521  3 Sn 2.70-2.96, 2 Ac 2.96


A plane-wave DFT calculation with PBE was carried out for an optimized crystal structure of LuBiRuRh.

Summary:
Formation energy in eV per atom: -0.3607
Mass density in g/cm³: 13.053
D(E_F) in states/eV per atom: 0.89
Crystal system: cubic

Unit cell a=4.7293 b=4.7293 c=4.7293 alpha=60.00 beta=60.00 gamma=60.00
With the nearest neighbours (Å) after each atom.
Element x y z (fractional)
Ru 0.7500 0.7500 0.7500  4 Lu 2.90, 4 Bi 2.90
Lu 0.5000 0.5000 0.5000  4 Ru 2.90, 4 Rh 2.90
Rh 0.2500 0.2500 0.2500  4 Bi 2.90, 4 Lu 2.90
Bi 0.0000 0.0000 0.0000  4 Rh 2.90, 4 Ru 2.90


A plane-wave DFT calculation with PBE was carried out for an optimized crystal structure of PrAl2Ga2.

Summary:
Formation energy in eV per atom: -0.4482
Mass density in g/cm³: 5.503
D(E_F) in states/eV per atom: 0.40
Crystal system: tetragonal

Unit cell a=6.3703 b=6.3703 c=6.3703 alpha=141.16 beta=141.16 gamma=56.10
With the nearest neighbours (Å) after each atom.
Element x y z (fractional)
Pr 0.0000 0.0000 0.0000  8 Ga 3.25, 8 Al 3.52
Al 0.7500 0.2500 0.5000  4 Ga 2.63
Al 0.2500 0.7500 0.5000  4 Ga 2.63
Ga 0.6119 0.6119 0.0000  1 Ga 2.52, 4 Al 2.63
Ga 0.3881 0.3881 0.0000  1 Ga 2.52, 4 Al 2.63


A plane-wave DFT calculation with PBE was carried out for an optimized crystal structure of Ac5Pm2Nd6.

Summary:
Formation energy in eV per atom: 0.0870
Mass density in g/cm³: 7.447
D(E_F) in states/eV per atom: 1.27
Crystal system: orthorhombic

Unit cell a=3.8148 b=12.1482 c=22.0422 alpha=90.00 beta=90.00 gamma=90.00
With the nearest neighbours (Å) after each atom.
Element x y z (fractional)
Ac 0.5000 0.3066 0.4247  4 Ac 3.81-4.20, 6 Nd 3.85-3.89, 2 Pm 3.95
Ac 0.5000 0.6934 0.5753  4 Ac 3.81-4.20, 6 Nd 3.85-3.89, 2 Pm 3.95
Ac 0.5000 0.8066 0.0753  4 Ac 3.81-4.20, 6 Nd 3.85-3.89, 2 Pm 3.95
Ac 0.5000 0.1934 0.9247  4 Ac 3.81-4.20, 6 Nd 3.85-3.89, 2 Pm 3.95
Ac 0.5000 0.5496 0.2894  5 Nd 3.65-3.77, 4 Pm 3.70-3.72, 2 Ac 3.81
Ac 0.5000 0.4504 0.7106  5 Nd 3.65-3.77, 4 Pm 3.70-3.72, 2 Ac 3.81
Ac 0.5000 0.0496 0.2106  5 Nd 3.65-3.77, 4 Pm 3.70-3.72, 2 Ac 3.81
Ac 0.5000 0.9504 0.7894  5 Nd 3.65-3.77, 4 Pm 3.70-3.72, 2 Ac 3.81
Ac 0.5000 0.5000 0.0000  6 Nd 3.65-3.76, 4 Ac 3.81-4.08
Ac 0.5000 0.0000 0.5000  6 Nd 3.65-3.76, 4 Ac 3.81-4.08
Pm 0.0000 0.2915 0.2679  3 Nd 3.46-3.63, 4 Ac 3.70-3.72, 2 Pm 3.81
Pm 0.0000 0.7085 0.7321  3 Nd 3.46-3.63, 4 Ac 3.70-3.72, 2 Pm 3.81
Pm 0.0000 0.7915 0.2321  3 Nd 3.46-3.63, 4 Ac 3.70-3.72, 2 Pm 3.81
Pm 0.0000 0.2085 0.7679  3 Nd 3.46-3.63, 4 Ac 3.70-3.72, 2 Pm 3.81
Nd 0.0000 0.0562 0.3565  1 Pm 3.46, 4 Nd 3.57-3.81, 4 Ac 3.74-3.76
Nd 0.0000 0.9438 0.6435  1 Pm 3.46, 4 Nd 3.57-3.81, 4 Ac 3.74-3.76
Nd 0.0000 0.5562 0.1435  1 Pm 3.46, 4 Nd 3.57-3.81, 4 Ac 3.74-3.76
Nd 0.0000 0.4438 0.8565  1 Pm 3.46, 4 Nd 3.57-3.81, 4 Ac 3.74-3.76
Nd 0.5000 0.3096 0.1279  6 Nd 3.57-3.81, 2 Pm 3.63, 2 Ac 3.65
Nd 0.5000 0.6904 0.8721  6 Nd 3.57-3.81, 2 Pm 3.63, 2 Ac 3.65
Nd 0.5000 0.8096 0.3721  6 Nd 3.57-3.81, 2 Pm 3.63, 2 Ac 3.65
Nd 0.5000 0.1904 0.6279  6 Nd 3.57-3.81, 2 Pm 3.63, 2 Ac 3.65
Nd 0.0000 0.5812 0.4359  5 Nd 3.45-3.81, 4 Ac 3.77-3.85
Nd 0.0000 0.4188 0.5641  5 Nd 3.45-3.81, 4 Ac 3.77-3.85
Nd 0.0000 0.0812 0.0641  5 Nd 3.45-3.81, 4 Ac 3.77-3.85
Nd 0.0000 0.9188 0.9359  5 Nd 3.45-3.81, 4 Ac 3.77-3.85